[1]
A plane-wave DFT calculation with PBE was carried out for a relaxed LiPaAsO crystal.

Unit cell a=4.246 b=4.157 c=7.202 alpha=90.00 beta=90.00 gamma=90.00
Space group Pmc2_1 (No. 26)
Inequivalent atoms, fractional coordinates:
Li  0.000  0.249  0.000 (multiplicity 2)
Pa  0.500  0.249  0.667 (multiplicity 2)
As  0.000  0.252  0.333 (multiplicity 2)
O  0.500  0.248  0.999 (multiplicity 2)

Calculated values
Energy above the most stable polymorph in this dataset = 0.41 eV per formula unit


[2]
A plane-wave DFT calculation with PBE was carried out for a relaxed ZrTe crystal.

Unit cell a=6.892 b=5.381 c=8.997 alpha=90.00 beta=110.64 gamma=90.00
Space group P2_1/m (No. 11)
Inequivalent atoms, fractional coordinates:
Zr  0.077  0.250  0.435 (multiplicity 2)
Zr  0.106  0.250  0.786 (multiplicity 2)
Zr  0.382  0.750  0.589 (multiplicity 2)
Te  0.168  0.250  0.151 (multiplicity 2)
Te  0.320  0.750  0.888 (multiplicity 2)
Te  0.496  0.250  0.693 (multiplicity 2)

Calculated values
Uncorrected energy = -12.8 eV per formula unit


[3]
A plane-wave DFT calculation with PBE was carried out for a relaxed Nb4CdAuN2 crystal.

Unit cell a=3.1887 b=3.1887 c=13.9552 alpha=90.00 beta=90.00 gamma=120.00
Space group P-6m2 (No. 187)
Inequivalent atoms, fractional coordinates:
Nb  0.0000  0.0000  0.1609 (multiplicity 2)
Nb  0.3333  0.6667  0.3253 (multiplicity 2)
Cd  0.0000  0.0000  0.5000 (multiplicity 1)
Au  0.3333  0.6667  0.0000 (multiplicity 1)
N  0.6667  0.3333  0.2432 (multiplicity 2)

Calculated values
Uncorrected energy = -65.5 eV per formula unit


[4]
A plane-wave DFT calculation with PBE was carried out for a relaxed DyLuSc crystal.

Unit cell a=7.343 b=7.343 c=7.343 alpha=90.00 beta=90.00 gamma=90.00
Space group F-43m (No. 216)
Inequivalent atoms, fractional coordinates:
Dy  0.000  0.000  0.000 (multiplicity 4)
Lu  0.000  0.000  0.500 (multiplicity 4)
Sc  0.250  0.250  0.250 (multiplicity 4)

Calculated values
Energy above the most stable polymorph in this dataset = 0.00 eV per formula unit
Energy of formation = 0.70 eV/atom


[5]
A plane-wave DFT calculation with PBE was carried out for a relaxed Y3Ho3NiTe2 crystal.

Unit cell a=8.4038 b=8.4038 c=3.8965 alpha=90.00 beta=90.00 gamma=120.00
Space group P-62m (No. 189)
Inequivalent atoms, fractional coordinates:
Y  0.0000  0.7608  0.0000 (multiplicity 3)
Ho  0.0000  0.4022  0.5000 (multiplicity 3)
Ni  0.0000  0.0000  0.5000 (multiplicity 1)
Te  0.3333  0.6667  0.0000 (multiplicity 2)

Calculated values
Energy above the most stable polymorph in this dataset = 0.24 eV per formula unit


[6]
A plane-wave DFT calculation with PBE was carried out for a relaxed K2PrI5 crystal.

Unit cell a=14.670 b=9.925 c=9.312 alpha=90.00 beta=90.00 gamma=90.00
Space group Pnma (No. 62)
Inequivalent atoms, fractional coordinates:
K  0.173  0.005  0.065 (multiplicity 8)
Pr  0.006  0.250  0.581 (multiplicity 4)
I  0.007  0.250  0.929 (multiplicity 4)
I  0.074  0.547  0.670 (multiplicity 8)
I  0.184  0.250  0.380 (multiplicity 4)
I  0.207  0.750  0.344 (multiplicity 4)

Calculated values
Uncorrected energy = -26.4 eV per formula unit


no.,V (Å³ per atom)
1,15.89
2,26.02
3,15.36
4,33.00
5,26.48
6,42.37